# 1
Material: InAsF3
Method: DFT, GGA-PBE
State: optimized geometry

## Properties
- magnetization (Bohr magnetons per cell) = 2.6
- space group = Pm-3m (221)
- formation energy from raw total energies (eV/atom) = -1.282

Cell: 4.3958 4.3958 4.3958 Å, 90.00 90.00 90.00°
Sites, in units of the cell vectors:
F  0.0000  0.0000  0.5000
F  0.0000  0.5000  0.0000
F  0.5000  0.0000  0.0000
In  0.0000  0.0000  0.0000
As  0.5000  0.5000  0.5000

=====

# 2
Material: La8PdRh3I4
Method: DFT, GGA-PBE
State: optimized geometry

## Properties
- magnetization (Bohr magnetons per cell) = 0.0
- space group = R-3m (166)
- formation energy from raw total energies (eV/atom) = -1.034

Cell: 8.5201 9.6253 8.5222 Å, 116.27 119.99 90.00°
Sites, in units of the cell vectors:
I  0.5000  0.0000  0.5000
I  0.5000  0.0000  0.0000
I  0.0000  0.0000  0.0000
I  0.0000  0.0000  0.5000
La  0.7294  0.6874  0.4587
La  0.2331  0.6872  0.4661
La  0.7667  0.3128  0.0456
La  0.2333  0.6872  0.9544
La  0.2706  0.3126  0.5413
La  0.7212  0.6872  0.9544
La  0.2788  0.3128  0.0456
La  0.7669  0.3128  0.5339
Rh  0.5000  0.5000  0.0000
Rh  0.0000  0.5000  0.5000
Rh  0.5000  0.5000  0.5000
Pd  0.0000  0.5000  0.0000

=====

# 3
Material: KZn2Tc
Method: DFT, GGA-PBE
State: optimized geometry

## Properties
- magnetization (Bohr magnetons per cell) = 0.0
- energy of formation from the pure elements (eV per atom) = 0.504
- space group = R-3m (166)

Cell: 10.4171 10.4171 10.4171 Å, 15.81 15.81 15.81°
Sites, in units of the cell vectors:
Zn  0.4873  0.4873  0.4873
Zn  0.0127  0.0127  0.0127
K  0.2500  0.2500  0.2500
Tc  0.7500  0.7500  0.7500

=====

# 4
Material: Bi3SbO7
Method: DFT, GGA-PBE
State: optimized geometry

## Properties
- magnetization (Bohr magnetons per cell) = 0.0
- space group = P-1 (2)
- formation energy from raw total energies (eV/atom) = -1.337

Cell: 6.6884 7.0143 7.7067 Å, 106.26 89.54 102.96°
Sites, in units of the cell vectors:
O  0.5334  0.3435  0.3591
O  0.7224  0.0530  0.0527
O  0.4666  0.6565  0.6409
O  0.8933  0.6974  0.9616
O  0.7236  0.0596  0.4801
O  0.2776  0.9470  0.9473
O  0.0949  0.0722  0.2685
O  0.1069  0.3023  0.6152
O  0.1067  0.3026  0.0384
O  0.5361  0.3722  0.8207
O  0.9051  0.9278  0.7315
O  0.2764  0.9404  0.5199
O  0.8931  0.6977  0.3848
O  0.4639  0.6278  0.1793
Sb  0.0000  0.0000  0.5000
Sb  0.0000  0.0000  0.0000
Bi  0.4817  0.9923  0.2553
Bi  0.7408  0.5367  0.6312
Bi  0.7343  0.4914  0.1226
Bi  0.2592  0.4633  0.3688
Bi  0.5183  0.0077  0.7447
Bi  0.2657  0.5086  0.8774

=====

# 5
Material: NdLuTlPt
Method: DFT, GGA-PBE
State: optimized geometry

## Properties
- magnetization (Bohr magnetons per cell) = 0.0
- energy of formation from the pure elements (eV per atom) = -0.641
- space group = F-43m (216)

Cell: 5.1907 5.1907 5.1907 Å, 60.00 60.00 60.00°
Sites, in units of the cell vectors:
Nd  0.0000  0.0000  0.0000
Pt  0.7500  0.7500  0.7500
Tl  0.2500  0.2500  0.2500
Lu  0.5000  0.5000  0.5000

=====

# 6
Material: BeCd2IrO
Method: DFT, GGA-PBE
State: optimized geometry

## Properties
- magnetization (Bohr magnetons per cell) = 0.0
- space group = P4/mmm (123)
- formation energy from raw total energies (eV/atom) = -0.388

Cell: 5.2531 5.2531 2.8603 Å, 90.00 90.00 90.00°
Sites, in units of the cell vectors:
Cd  0.5000  0.0000  0.0000
Cd  0.0000  0.5000  0.0000
Be  0.0000  0.0000  0.0000
Ir  0.5000  0.5000  0.5000
O  0.0000  0.0000  0.5000

=====

# 7
Material: TlHg2Au
Method: DFT, GGA-PBE
State: optimized geometry

## Properties
- magnetization (Bohr magnetons per cell) = 0.0
- energy of formation from the pure elements (eV per atom) = -0.023
- space group = P2_1/m (11)

Cell: 4.4306 5.8589 8.5073 Å, 90.00 90.00 110.70°
Sites, in units of the cell vectors:
Au  0.2066  0.4294  0.2500
Au  0.7934  0.5706  0.7500
Tl  0.0708  0.1367  0.7500
Tl  0.9292  0.8633  0.2500
Hg  0.3690  0.7302  0.5414
Hg  0.3690  0.7302  0.9586
Hg  0.6310  0.2698  0.4586
Hg  0.6310  0.2698  0.0414

=====

# 8
Material: TbCo3
Method: DFT, GGA-PBE
State: optimized geometry

## Properties
- magnetization (Bohr magnetons per cell) = 10.6
- energy of formation from the pure elements (eV per atom) = -0.166
- space group = R-3m (166)

Cell: 8.6516 8.6516 8.6517 Å, 33.45 33.45 33.45°
Sites, in units of the cell vectors:
Co  0.0789  0.5819  0.5819
Co  0.5819  0.0789  0.5819
Co  0.5000  0.5000  0.5000
Co  0.6653  0.6653  0.6653
Co  0.5819  0.5819  0.0789
Co  0.4181  0.9211  0.4181
Co  0.4181  0.4181  0.9211
Co  0.9211  0.4181  0.4181
Co  0.3347  0.3347  0.3347
Tb  0.1397  0.1397  0.1397
Tb  0.8603  0.8603  0.8603
Tb  0.0000  0.0000  0.0000

=====

# 9
Material: LiTiAl
Method: DFT, GGA-PBE
State: optimized geometry

## Properties
- magnetization (Bohr magnetons per cell) = 0.0
- energy of formation from the pure elements (eV per atom) = -0.114
- space group = P-1 (2)

Cell: 7.5282 4.8156 2.7905 Å, 81.83 96.79 94.77°
Sites, in units of the cell vectors:
Li  0.3351  0.0004  0.6762
Li  0.6649  0.9996  0.3238
Ti  0.1554  0.4881  0.3350
Ti  0.8446  0.5119  0.6650
Al  0.5000  0.5000  0.0000
Al  0.0000  0.0000  0.0000

=====

# 10
Material: CdCo2N
Method: DFT, GGA-PBE
State: optimized geometry

## Properties
- magnetization (Bohr magnetons per cell) = 4.0
- space group = Fm-3m (225)
- formation energy from raw total energies (eV/atom) = 1.322

Cell: 4.1544 4.1544 4.1544 Å, 60.00 60.00 60.00°
Sites, in units of the cell vectors:
N  0.0000  0.0000  0.0000
Co  0.2500  0.2500  0.2500
Co  0.7500  0.7500  0.7500
Cd  0.5000  0.5000  0.5000

=====

# 11
Material: CsPd2Br
Method: DFT, GGA-PBE
State: optimized geometry

## Properties
- magnetization (Bohr magnetons per cell) = 0.0
- space group = Fm-3m (225)
- formation energy from raw total energies (eV/atom) = 0.237

Cell: 5.1491 5.1491 5.1491 Å, 60.00 60.00 60.00°
Sites, in units of the cell vectors:
Br  0.0000  0.0000  0.0000
Cs  0.5000  0.5000  0.5000
Pd  0.2500  0.2500  0.2500
Pd  0.7500  0.7500  0.7500

=====

# 12
Material: MnAlIr3
Method: DFT, GGA-PBE
State: optimized geometry

## Properties
- magnetization (Bohr magnetons per cell) = 4.5
- energy of formation from the pure elements (eV per atom) = 0.912
- space group = Pm-3m (221)

Cell: 4.4477 4.4477 4.4477 Å, 90.00 90.00 90.00°
Sites, in units of the cell vectors:
Al  0.0000  0.0000  0.0000
Ir  0.0000  0.5000  0.0000
Ir  0.0000  0.0000  0.5000
Ir  0.5000  0.0000  0.0000
Mn  0.5000  0.5000  0.5000